# 1
{"formula": "MgCdS2", "functional": "PBE", "state": "optimized geometry", "lattice_angstrom": [[4.0264, 0.0000, 0.0000], [-2.0132, 3.4869, 0.0000], [0.0000, 0.0000, 6.4954]], "species": ["Mg", "Cd", "S", "S"], "frac_coords": [[0.0000, 0.0000, 0.0000], [0.6667, 0.3333, 0.5346], [0.0000, 0.0000, 0.3767], [0.3333, 0.6667, 0.8603]], "total_magnetization_mub_per_cell": 0.00, "formation_energy_uncorrected_ev_per_atom": -0.92, "dft_energy_ev_per_cell": -14.45}


# 2
{"formula": "Mg3CdS", "functional": "PBE", "state": "optimized geometry", "lattice_angstrom": [[4.8794, 0.0000, 0.0000], [0.0000, 4.8794, 0.0000], [0.0000, 0.0000, 4.8794]], "species": ["Mg", "Mg", "Mg", "Cd", "S"], "frac_coords": [[0.0000, 0.0000, 0.5000], [0.0000, 0.5000, 0.0000], [0.5000, 0.0000, 0.0000], [0.5000, 0.5000, 0.5000], [0.0000, 0.0000, 0.0000]], "total_magnetization_mub_per_cell": 0.00, "formation_energy_uncorrected_ev_per_atom": -0.21, "dft_energy_ev_per_cell": -10.87}